This record from Alexandria via LeMat-Bulk describes a geometry-optimized Zn7Fe6 structure. The functional is PBE.

The value obtained for the formation energy is 0.163 eV/atom. The calculation puts the density at 7.629 g/cm3. For the final energy, the calculation gives -4.43 eV per atom.

The space group is R-3m (No. 166, hexagonal axes) and the conventional cell measures 4.8349, 4.8349 and 25.5771 Å, with angles of 90.00, 90.00 and 120.00 degrees. The inequivalent atoms are Zn at (0.0000, 0.0000, 0.0000), Zn at (0.0044, 0.5022, 0.4128), Fe at (0.0000, 0.0000, 0.1662), Fe at (0.0000, 0.0000, 0.3511) and Fe at (0.0000, 0.0000, 0.4551).


This record from Alexandria via LeMat-Bulk describes a geometry-optimized VGaSb2Cl structure. The functional is PBE.

The calculation puts the density at 4.972 g/cm3. For the final energy, the calculation gives -3.63 eV per atom. The value obtained for the formation energy without anion corrections is 821 meV/atom.

The space group is P4/mmm (No. 123) and the conventional cell measures 5.321, 5.321 and 4.714 Å, with angles of 90.00, 90.00 and 90.00 degrees. The inequivalent atoms are V at (0.000, 0.000, 0.000), Ga at (0.500, 0.500, 0.500), Sb at (0.000, 0.500, 0.500) and Cl at (0.500, 0.500, 0.000).


This record from Alexandria via LeMat-Bulk describes a geometry-optimized NbVPb3 structure. The functional is PBE.

The value obtained for the formation energy is 1.030 eV/atom. The calculation puts the density at 7.678 g/cm3. For the final energy, the calculation gives -5.03 eV per atom. The value obtained for the distance to the lowest polymorph of the same formula is 0 kJ/mol of formula units.

The space group is Pm-3m (No. 221) and the conventional cell measures 5.491, 5.491 and 5.491 Å, with angles of 90.00, 90.00 and 90.00 degrees. The inequivalent atoms are Nb at (0.000, 0.000, 0.000), V at (0.500, 0.500, 0.500) and Pb at (0.000, 0.000, 0.500).


This record from Alexandria via LeMat-Bulk describes a geometry-optimized Zr4TlTc structure. The functional is PBE.

The value obtained for the formation energy is 0.141 eV/atom. The calculation puts the density at 7.496 g/cm3. For the final energy, the calculation gives -7.68 eV per atom. The value obtained for the distance to the lowest polymorph of the same formula is 177 kJ/mol of formula units.

The space group is C2/m (No. 12) and the conventional cell measures 8.297, 4.800 and 7.923 Å, with angles of 90.00, 110.45 and 90.00 degrees. The inequivalent atoms are Zr at (0.113, 0.000, 0.341), Zr at (0.136, 0.500, 0.907), Tl at (0.000, 0.500, 0.500) and Tc at (0.000, 0.000, 0.000).


This record from Alexandria via LeMat-Bulk describes a geometry-optimized TbSm7Dy12 structure. The functional is PBE.

The value obtained for the formation energy is 0.659 eV/atom. The calculation puts the density at 7.307 g/cm3. For the final energy, the calculation gives -3.99 eV per atom. The value obtained for the distance to the lowest polymorph of the same formula is 728 kJ/mol of formula units.

The space group is Im-3m (No. 229) and the conventional cell measures 11.284, 11.284 and 11.284 Å, with angles of 90.00, 90.00 and 90.00 degrees. The inequivalent atoms are Tb at (0.000, 0.000, 0.000), Sm at (0.000, 0.000, 0.500), Sm at (0.250, 0.250, 0.250) and Dy at (0.000, 0.248, 0.248).


This record from Alexandria via LeMat-Bulk describes a geometry-optimized BaSiTc structure. The functional is PBE.

The calculation puts the density at 5.627 g/cm3. For the final energy, the calculation gives -5.88 eV per atom. The value obtained for the formation energy without anion corrections is 23 meV/atom. The value obtained for the distance to the lowest polymorph of the same formula is 92 kJ/mol of formula units.

The space group is P-6m2 (No. 187) and the conventional cell measures 4.1585, 4.1585 and 5.1907 Å, with angles of 90.00, 90.00 and 120.00 degrees. The inequivalent atoms are Ba at (0.0000, 0.0000, 0.0000), Si at (0.6667, 0.3333, 0.5000) and Tc at (0.3333, 0.6667, 0.5000).


Q: The lowest final energy belongs to which entry?
A: Zr4TlTc


Q: Which of these has the lowest final energy?
A: Zr4TlTc